VASP calculation (PBE-GGA) on crystalline Sm3TeBr7 at its relaxed geometry.

a b c (Å): 7.1443 8.6532 8.6532
angles (deg): 120.00 90.00 90.00
With the nearest neighbours (Å) after each atom.
Fractional positions:
Sm1 0.7804 0.0080 0.5040  5 Br 2.88-3.06, 1 Te 3.05
Sm2 0.7804 0.4960 0.9920  5 Br 2.88-3.06, 1 Te 3.05
Sm3 0.7804 0.4960 0.5040  5 Br 2.88-3.06, 1 Te 3.05
Br1 0.0147 0.6667 0.3333  3 Sm 3.06
Br2 0.5720 0.8240 0.6480  2 Sm 2.88
Br3 0.5720 0.3520 0.1760  2 Sm 2.88
Br4 0.0062 0.1764 0.8236  2 Sm 2.89
Br5 0.0062 0.6472 0.8236  2 Sm 2.89
Br6 0.5720 0.8240 0.1760  2 Sm 2.88
Br7 0.0062 0.1764 0.3528  2 Sm 2.89
Te1 0.5245 0.3333 0.6667  3 Sm 3.05

E = -4.4201 eV/atom
Density of states at the Fermi level = 0.000 states/eV/cell